The following is a GGA-PBE calculation of a geometry-optimized CaSmEu structure, from Alexandria.

a b c (Å): 3.7687 3.7687 9.3593
angles (deg): 90.00 90.00 120.00
Fractional positions:
1 Ca 0.0000 0.0000 0.0000
2 Sm 0.6667 0.3333 0.3281
3 Eu 0.3333 0.6667 0.6513

Computed properties:
Offset from the most stable computed form ... 0.0 meV/atom
Mass density ... 4.94 Mg/m³
DFT total energy ... -5.596 eV/atom
Energy of formation from the pure elements ... 0.07 eV/atom
Space group ... P3m1, No. 156